Compound: Cs2CoAgF6
Source: Alexandria
Functional: PBE with a Hubbard U
Structure: optimized geometry

Properties
Electronic total energy (Ha/atom): -0.15659
Fermi-level density of states (states/eV/f.u.): 0.00

Cell lengths 6.293, 6.293, 6.335 Å; angles 60.22, 60.22, 90.00 degrees
Atoms (fractional coordinates):
F 0.276 0.724 0.000
F 0.290 0.290 0.421
F 0.710 0.710 0.579
F 0.276 0.276 0.000
F 0.724 0.276 0.000
F 0.724 0.724 0.000
Cs 0.250 0.750 0.500
Cs 0.750 0.250 0.500
Co 0.500 0.500 0.000
Ag 0.000 0.000 0.000